Entry 1:
16
Lattice="3.631 0.000 0.000 0.000 7.251 0.000 0.000 0.000 19.041" Properties=species:S:1:pos:R:3 comment="Nd3SmIn4 GGA-PBE optimized geometry" polymorph_energy_mev_per_atom=177 dos_at_fermi_per_ev_cell=15.6 crystal_system=orthorhombic energy_ev_per_atom=-4.065 formation_energy_mev_per_atom=-318 space_group="Immm, No. 71" pbc="T T T"
Nd 0.000 0.000 0.000
Nd 0.000 3.625 4.142
Nd 0.000 3.625 14.900
Nd 1.815 0.000 5.379
Nd 1.815 0.000 13.662
Nd 1.815 3.625 9.521
Sm 0.000 0.000 9.521
Sm 1.815 3.625 0.000
In 0.000 2.110 7.115
In 0.000 2.110 11.926
In 0.000 5.141 7.115
In 0.000 5.141 11.926
In 1.815 1.516 2.405
In 1.815 1.516 16.636
In 1.815 5.735 2.405
In 1.815 5.735 16.636



Entry 2:
14
Lattice="9.572 0.000 0.000 0.000 5.722 0.000 -4.783 0.000 8.293" Properties=species:S:1:pos:R:3 comment="Nd3Sm3In GGA-PBE optimized geometry" polymorph_energy_mev_per_atom=0 dos_at_fermi_per_ev_cell=18.2 crystal_system=monoclinic energy_ev_per_atom=-4.562 formation_energy_mev_per_atom=-105 space_group="P2_1/m, No. 11" pbc="T T T"
Nd -0.406 1.431 1.053
Nd -1.685 4.292 5.032
Nd 3.665 4.292 0.174
Nd 1.124 1.431 8.119
Nd 6.474 1.431 3.261
Nd 5.195 4.292 7.239
Sm 0.923 4.292 2.652
Sm 0.365 1.431 4.673
Sm 2.956 1.431 2.127
Sm 1.833 4.292 6.166
Sm 4.425 4.292 3.620
Sm 3.866 1.431 5.641
In -2.391 1.431 6.913
In 7.180 4.292 1.380



Entry 3:
20
Lattice="4.994 0.000 0.000 0.000 4.994 0.000 0.000 0.000 25.525" Properties=species:S:1:pos:R:3 comment="Nd15SmIn4 GGA-PBE optimized geometry" dos_at_fermi_per_ev_cell=29.5 crystal_system=tetragonal energy_ev_per_atom=-4.570 formation_energy_mev_per_atom=-211 space_group="P4/mmm, No. 123" pbc="T T T"
Nd 0.000 0.000 0.000
Nd 0.000 0.000 5.247
Nd 0.000 0.000 10.251
Nd 0.000 0.000 15.273
Nd 0.000 0.000 20.278
Nd 0.000 2.497 2.709
Nd 0.000 2.497 7.747
Nd 0.000 2.497 12.762
Nd 0.000 2.497 17.777
Nd 0.000 2.497 22.816
Nd 2.497 0.000 2.709
Nd 2.497 0.000 7.747
Nd 2.497 0.000 12.762
Nd 2.497 0.000 17.777
Nd 2.497 0.000 22.816
Sm 2.497 2.497 0.000
In 2.497 2.497 5.253
In 2.497 2.497 10.259
In 2.497 2.497 15.265
In 2.497 2.497 20.271



Entry 4:
12
Lattice="8.165 -3.292 0.000 8.165 3.292 0.000 -1.578 0.000 6.386" Properties=species:S:1:pos:R:3 comment="NdSm2In3 GGA-PBE optimized geometry" polymorph_energy_mev_per_atom=60 dos_at_fermi_per_ev_cell=7.2 crystal_system=monoclinic energy_ev_per_atom=-4.171 formation_energy_mev_per_atom=-434 space_group="C2/c, No. 15" pbc="T T T"
Nd 6.981 2.417 4.790
Nd 7.770 -2.417 1.597
Sm 4.736 0.774 2.633
Sm 3.947 -0.774 5.826
Sm 10.804 0.774 0.560
Sm 10.015 -0.774 3.753
In 2.618 0.802 0.299
In 1.829 -0.802 3.492
In 7.770 0.866 1.597
In 6.981 -0.866 4.790
In 12.922 0.802 2.894
In 12.133 -0.802 6.087